Material: BeHg2PtN
Method: DFT, PBE
State: optimized geometry

Computed properties:
E (eV per formula unit): -13.151
N(E_F) (states/eV/cell): 1.4
M_tot (Bohr magnetons per cell): 2.70
Uncorrected formation energy (eV per formula unit): 5.55

Cell: 5.3254 5.3254 4.3062 Å, 90.00 90.00 90.00°
Closest atoms and distances in Å follow each position.
Atoms (fractional coordinates):
Be  0.0000  0.0000  0.0000  2 Pt 2.15
Hg  0.0000  0.5000  0.5000  2 Pt 2.66
Hg  0.5000  0.0000  0.5000  2 Pt 2.66
Pt  0.0000  0.0000  0.5000  2 Be 2.15
N  0.5000  0.5000  0.0000  8 Hg 3.42, 4 Be 3.77